Here is an optimized crystal structure of RbReAuO3 from OQMD. Energies are from GGA-PBE.

a b c (Å): 12.377 3.147 10.647
angles (deg): 90.00 90.00 90.00
Atoms (fractional coordinates):
Rb  0.243  0.250  0.088
Rb  0.257  0.750  0.588
Rb  0.743  0.250  0.412
Rb  0.757  0.750  0.912
Re  0.042  0.750  0.370
Re  0.458  0.250  0.870
Re  0.542  0.750  0.130
Re  0.958  0.250  0.630
Au  0.030  0.750  0.903
Au  0.470  0.250  0.403
Au  0.530  0.750  0.597
Au  0.970  0.250  0.097
O  0.047  0.750  0.693
O  0.080  0.250  0.484
O  0.165  0.750  0.289
O  0.335  0.250  0.789
O  0.420  0.750  0.984
O  0.453  0.250  0.193
O  0.547  0.750  0.807
O  0.580  0.250  0.016
O  0.665  0.750  0.211
O  0.835  0.250  0.711
O  0.920  0.750  0.516
O  0.953  0.250  0.307

## Properties
* energy: -6.3402 eV/atom
* space-group type: Pnma (62)
* volume: 414.7 Å³/cell
* calculated density: 8.3 g/cm³

---

Here is an optimized crystal structure of Rb2Au2SO from OQMD. Energies are from GGA-PBE.

a b c (Å): 6.943 4.959 4.959
angles (deg): 81.49 90.00 90.00
Atoms (fractional coordinates):
Rb  0.000  0.000  0.000
Rb  0.500  0.202  0.202
Au  0.232  0.578  0.578
Au  0.768  0.578  0.578
S  0.500  0.762  0.762
O  0.000  0.409  0.409

## Properties
* energy: -3.6830 eV/atom
* space-group type: Amm2 (38)
* volume: 168.9 Å³/cell
* calculated density: 6.0 g/cm³